Record 1
VASP calculation (GGA-PBE) on crystalline ScRu2Pb at its relaxed geometry.

Computed properties:
DFT formation energy = 0.3 eV/f.u.
M_tot = 0.00 μB/f.u.
V = 74.8 Å³/f.u.
DFT total energy = -7.071 eV/atom

Cell lengths 3.085, 3.085, 7.862 Å; angles 90.00, 90.00, 90.01 degrees
Atoms (fractional coordinates):
Ru 0.000 0.000 0.037
Ru 0.500 0.500 0.229
Sc 0.000 0.000 0.453
Pb 0.500 0.500 0.781

Record 2
VASP calculation (GGA-PBE) on crystalline ZrAlAs2 at its relaxed geometry.

Computed properties:
DFT formation energy = -0.9 eV/f.u.
M_tot = 0.00 μB/f.u.
V = 79.8 Å³/f.u.
DFT total energy = -5.629 eV/atom

Cell lengths 5.094, 5.094, 4.994 Å; angles 87.11, 87.11, 38.08 degrees
Atoms (fractional coordinates):
Zr 0.750 0.750 0.750
As 0.478 0.478 0.553
As 0.022 0.022 0.947
Al 0.250 0.250 0.250

Record 3
VASP calculation (GGA-PBE) on crystalline Pm5Dy5Y at its relaxed geometry.

Computed properties:
DFT formation energy = 3.2 eV/f.u.
M_tot = 0.00 μB/f.u.
V = 379.7 Å³/f.u.
DFT total energy = -4.545 eV/atom

Cell lengths 6.122, 6.122, 11.697 Å; angles 90.00, 90.00, 120.00 degrees
Atoms (fractional coordinates):
Pm 0.667 0.333 0.845
Pm 0.333 0.667 0.317
Pm 0.000 0.000 0.000
Pm 0.333 0.667 0.683
Pm 0.667 0.333 0.155
Dy 0.334 0.167 0.500
Dy 0.000 0.000 0.735
Dy 0.000 0.000 0.265
Dy 0.833 0.167 0.500
Dy 0.833 0.666 0.500
Y 0.333 0.667 0.000